Here is crystalline DyTlCu at its relaxed geometry from the Alexandria database. Energies are from GGA-PBE.

Results
The calculation puts the total magnetic moment at 0.00 μB/f.u. The calculation puts the total energy at -3.883 eV/atom.

Lattice parameters (Å, degrees): 4.6473 4.6473 4.6473 60.00 60.00 60.00
Closest atoms and distances in Å follow each position.
Fractional coordinates of all 3 atoms:
Dy  0.5000  0.5000  0.5000  4 Cu 2.85
Tl  0.0000  0.0000  0.0000  4 Cu 2.85
Cu  0.2500  0.2500  0.2500  4 Tl 2.85, 4 Dy 2.85